Density functional theory data (PBE) for an optimized crystal structure of Na3PS4.

```
data_Na3PS4
_symmetry_space_group_name_H-M 'I -4 3 m'
_symmetry_Int_Tables_number 217
_symmetry_space_group_name_Hall 'I -4 2 3'
_cell_length_a 7.041
_cell_length_b 7.041
_cell_length_c 7.041
_cell_angle_alpha 90.00
_cell_angle_beta 90.00
_cell_angle_gamma 90.00
loop_
_atom_site_label
_atom_site_fract_x
_atom_site_fract_y
_atom_site_fract_z
Na1 0.000 0.000 0.500
P1 0.000 0.000 0.000
S1 0.170 0.170 0.170
```

Its density of states at the Fermi level is 0.000 states/eV/atom. The value obtained for the uncorrected formation energy is -0.875 eV/atom. Its spin magnetization is 0.0 μB/f.u.